a) Compound: ScCoPO2
Source: Alexandria via LeMat-Bulk
Functional: GGA+U
Structure: optimized geometry

a = 3.894 Å, b = 3.894 Å, c = 5.850 Å
α = 90.00°, β = 90.00°, γ = 90.00°
Space group P4/mmm (No. 123)
Inequivalent atoms, fractional coordinates:
1 Sc 0.000 0.000 0.000 x1
2 Co 0.500 0.500 0.500 x1
3 P 0.000 0.000 0.500 x1
4 O 0.000 0.500 0.000 x2

***

b) Compound: ScCoPO2
Source: Alexandria via LeMat-Bulk
Functional: GGA+U
Structure: optimized geometry

a = 3.760 Å, b = 3.760 Å, c = 4.549 Å
α = 90.00°, β = 90.00°, γ = 90.00°
Space group P4/mmm (No. 123)
Inequivalent atoms, fractional coordinates:
1 Sc 0.000 0.000 0.000 x1
2 Co 0.500 0.500 0.500 x1
3 P 0.500 0.500 0.000 x1
4 O 0.000 0.500 0.500 x2

***

Stability, lowest: a)

***

a) Compound: CoP2SeO
Source: Alexandria via LeMat-Bulk
Functional: GGA+U
Structure: optimized geometry

a = 4.879 Å, b = 4.879 Å, c = 3.643 Å
α = 90.00°, β = 90.00°, γ = 90.00°
Space group P4/mmm (No. 123)
Inequivalent atoms, fractional coordinates:
1 Co 0.000 0.000 0.000 x1
2 P 0.000 0.500 0.500 x2
3 Se 0.500 0.500 0.500 x1
4 O 0.500 0.500 0.000 x1

***

b) Compound: CoP2SeO
Source: Alexandria via LeMat-Bulk
Functional: GGA+U
Structure: optimized geometry

a = 4.616 Å, b = 4.616 Å, c = 3.466 Å
α = 90.00°, β = 90.00°, γ = 90.00°
Space group P4/mmm (No. 123)
Inequivalent atoms, fractional coordinates:
1 Co 0.000 0.000 0.000 x1
2 P 0.000 0.500 0.000 x2
3 Se 0.500 0.500 0.500 x1
4 O 0.000 0.000 0.500 x1

***

Stability, lowest: a)

***

a) Compound: CoSiPO2
Source: Alexandria via LeMat-Bulk
Functional: GGA+U
Structure: optimized geometry

a = 3.373 Å, b = 3.373 Å, c = 5.502 Å
α = 90.00°, β = 90.00°, γ = 90.00°
Space group P4/mmm (No. 123)
Inequivalent atoms, fractional coordinates:
1 Co 0.000 0.000 0.000 x1
2 Si 0.500 0.500 0.500 x1
3 P 0.500 0.500 0.000 x1
4 O 0.000 0.500 0.500 x2

***

b) Compound: CoSiPO2
Source: Alexandria via LeMat-Bulk
Functional: GGA+U
Structure: optimized geometry

a = 3.609 Å, b = 3.609 Å, c = 4.789 Å
α = 90.00°, β = 90.00°, γ = 90.00°
Space group P4/mmm (No. 123)
Inequivalent atoms, fractional coordinates:
1 Co 0.000 0.000 0.000 x1
2 Si 0.500 0.500 0.500 x1
3 P 0.000 0.000 0.500 x1
4 O 0.000 0.500 0.000 x2

***

Stability, lowest: b)

***

a) Compound: CoSnP2O
Source: Alexandria via LeMat-Bulk
Functional: GGA+U
Structure: optimized geometry

a = 5.149 Å, b = 5.149 Å, c = 3.877 Å
α = 90.00°, β = 90.00°, γ = 90.00°
Space group P4/mmm (No. 123)
Inequivalent atoms, fractional coordinates:
1 Co 0.000 0.000 0.000 x1
2 Sn 0.500 0.500 0.500 x1
3 P 0.000 0.500 0.500 x2
4 O 0.500 0.500 0.000 x1

***

b) Compound: CoSnP2O
Source: Alexandria via LeMat-Bulk
Functional: GGA+U
Structure: optimized geometry

a = 4.751 Å, b = 4.751 Å, c = 3.501 Å
α = 90.00°, β = 90.00°, γ = 90.00°
Space group P4/mmm (No. 123)
Inequivalent atoms, fractional coordinates:
1 Co 0.000 0.000 0.000 x1
2 Sn 0.500 0.500 0.500 x1
3 P 0.000 0.500 0.000 x2
4 O 0.000 0.000 0.500 x1

***

Stability, lowest: a)

***

a) Compound: CoSnPO2
Source: Alexandria via LeMat-Bulk
Functional: GGA+U
Structure: optimized geometry

a = 3.900 Å, b = 3.900 Å, c = 5.628 Å
α = 90.00°, β = 90.00°, γ = 90.00°
Space group P4/mmm (No. 123)
Inequivalent atoms, fractional coordinates:
1 Co 0.000 0.000 0.000 x1
2 Sn 0.500 0.500 0.500 x1
3 P 0.500 0.500 0.000 x1
4 O 0.000 0.500 0.500 x2

***

b) Compound: CoSnPO2
Source: Alexandria via LeMat-Bulk
Functional: GGA+U
Structure: optimized geometry

a = 3.807 Å, b = 3.807 Å, c = 4.666 Å
α = 90.00°, β = 90.00°, γ = 90.00°
Space group P4/mmm (No. 123)
Inequivalent atoms, fractional coordinates:
1 Co 0.000 0.000 0.000 x1
2 Sn 0.500 0.500 0.500 x1
3 P 0.000 0.000 0.500 x1
4 O 0.000 0.500 0.000 x2

***

Stability, lowest: a)

***

a) Compound: SrCoP2O
Source: Alexandria via LeMat-Bulk
Functional: GGA+U
Structure: optimized geometry

a = 4.076 Å, b = 4.076 Å, c = 5.616 Å
α = 90.00°, β = 90.00°, γ = 90.00°
Space group P4/mmm (No. 123)
Inequivalent atoms, fractional coordinates:
1 Sr 0.000 0.000 0.000 x1
2 Co 0.500 0.500 0.500 x1
3 P 0.000 0.500 0.500 x2
4 O 0.500 0.500 0.000 x1

***

b) Compound: SrCoP2O
Source: Alexandria via LeMat-Bulk
Functional: GGA+U
Structure: optimized geometry

a = 5.595 Å, b = 5.595 Å, c = 4.328 Å
α = 90.00°, β = 90.00°, γ = 90.00°
Space group P4/mmm (No. 123)
Inequivalent atoms, fractional coordinates:
1 Sr 0.000 0.000 0.000 x1
2 Co 0.500 0.500 0.500 x1
3 P 0.000 0.500 0.000 x2
4 O 0.000 0.000 0.500 x1

***

Stability, lowest: b)

***

a) Compound: SrZnCoP2O8
Source: Alexandria via LeMat-Bulk
Functional: GGA+U
Structure: optimized geometry

a = 5.505 Å, b = 6.971 Å, c = 9.402 Å
α = 110.59°, β = 102.13°, γ = 97.93°
Space group P-1 (No. 2)
Inequivalent atoms, fractional coordinates:
1 Sr 0.248 0.299 0.051 x2
2 Zn 0.009 0.120 0.356 x2
3 Co 0.369 0.652 0.442 x2
4 P 0.156 0.478 0.699 x2
5 P 0.396 0.923 0.233 x2
6 O 0.000 0.250 0.581 x2
7 O 0.049 0.384 0.304 x2
8 O 0.194 0.943 0.101 x2
9 O 0.261 0.498 0.868 x2
10 O 0.333 0.027 0.788 x2
11 O 0.341 0.702 0.237 x2
12 O 0.372 0.089 0.393 x2
13 O 0.376 0.550 0.634 x2

***

b) Compound: SrZnCoP2O8
Source: Alexandria via LeMat-Bulk
Functional: GGA+U
Structure: optimized geometry

a = 5.857 Å, b = 6.906 Å, c = 10.472 Å
α = 97.40°, β = 104.35°, γ = 100.08°
Space group P-1 (No. 2)
Inequivalent atoms, fractional coordinates:
1 Sr 0.207 0.303 0.033 x2
2 Zn 0.274 0.376 0.497 x2
3 Co 0.312 0.846 0.622 x2
4 P 0.150 0.561 0.747 x2
5 P 0.420 0.900 0.189 x2
6 O 0.011 0.709 0.667 x2
7 O 0.043 0.512 0.862 x2
8 O 0.118 0.017 0.505 x2
9 O 0.137 0.372 0.650 x2
10 O 0.187 0.949 0.112 x2
11 O 0.411 0.694 0.798 x2
12 O 0.415 0.680 0.509 x2
13 O 0.497 0.266 0.885 x2

***

Stability, lowest: b)

***

a) Compound: TaCoPO2
Source: Alexandria via LeMat-Bulk
Functional: GGA+U
Structure: optimized geometry

a = 3.852 Å, b = 3.852 Å, c = 5.340 Å
α = 90.00°, β = 90.00°, γ = 90.00°
Space group P4/mmm (No. 123)
Inequivalent atoms, fractional coordinates:
1 Ta 0.000 0.000 0.000 x1
2 Co 0.500 0.500 0.500 x1
3 P 0.000 0.000 0.500 x1
4 O 0.000 0.500 0.000 x2

***

b) Compound: TaCoPO2
Source: Alexandria via LeMat-Bulk
Functional: GGA+U
Structure: optimized geometry

a = 3.674 Å, b = 3.674 Å, c = 4.403 Å
α = 90.00°, β = 90.00°, γ = 90.00°
Space group P4/mmm (No. 123)
Inequivalent atoms, fractional coordinates:
1 Ta 0.000 0.000 0.000 x1
2 Co 0.500 0.500 0.500 x1
3 P 0.500 0.500 0.000 x1
4 O 0.000 0.500 0.500 x2

***

Stability, lowest: b)